Here is a relaxed PrDy2Tl3Se6 crystal from Alexandria. Energies are from PBE.

Lattice parameters (Å, degrees): 7.354 12.733 8.142 90.00 107.51 90.00
Space group C2/m (No. 12)
Asymmetric unit:
Pr 0.000 0.000 0.000 [2 per cell]
Dy 0.000 0.333 0.000 [4 per cell]
Tl 0.000 0.165 0.500 [4 per cell]
Tl 0.000 0.500 0.500 [2 per cell]
Se 0.225 0.500 0.205 [4 per cell]
Se 0.241 0.172 0.207 [8 per cell]

Computed properties:
total magnetic moment	0.00	Bohr magnetons per cell
raw total energy	-0.35869	Ry/atom
formation energy from raw total energies	-1381	meV per atom
crystal system	monoclinic
calculated volume	30.3	A^3/atom

***

Here is a relaxed Pr2DyTm3Se6 crystal from Alexandria. Energies are from PBE.

Lattice parameters (Å, degrees): 18.057 4.054 8.350 90.00 105.20 90.00
Space group C2/m (No. 12)
Asymmetric unit:
Pr 0.168 0.000 0.336 [4 per cell]
Dy 0.000 0.500 0.000 [2 per cell]
Tm 0.000 0.500 0.500 [2 per cell]
Tm 0.170 0.000 0.834 [4 per cell]
Se 0.006 0.000 0.749 [4 per cell]
Se 0.161 0.500 0.596 [4 per cell]
Se 0.166 0.500 0.068 [4 per cell]

Computed properties:
total magnetic moment	0.00	Bohr magnetons per cell
raw total energy	-0.42490	Ry/atom
formation energy from raw total energies	-1741	meV per atom
crystal system	monoclinic
calculated volume	24.6	A^3/atom

***

Here is a relaxed Pr3DyTm3Se8 crystal from Alexandria. Energies are from PBE.

Lattice parameters (Å, degrees): 8.1887 8.1887 20.5380 90.00 90.00 120.00
Space group R-3m (No. 166, hexagonal axes)
Asymmetric unit:
Pr 0.0000 0.5000 0.0000 [9 per cell]
Dy 0.0000 0.0000 0.5000 [3 per cell]
Tm 0.0000 0.5000 0.5000 [9 per cell]
Se 0.0000 0.0000 0.2428 [6 per cell]
Se 0.0096 0.5048 0.7548 [18 per cell]

Computed properties:
total magnetic moment	0.00	Bohr magnetons per cell
raw total energy	-0.42972	Ry/atom
formation energy from raw total energies	-1831	meV per atom
crystal system	trigonal
calculated volume	26.5	A^3/atom

***

Here is a relaxed PrDy3Tm2Se6 crystal from Alexandria. Energies are from PBE.

Lattice parameters (Å, degrees): 7.070 12.301 7.071 90.00 109.47 90.00
Space group C2/m (No. 12)
Asymmetric unit:
Pr 0.000 0.000 0.000 [2 per cell]
Dy 0.000 0.156 0.500 [4 per cell]
Dy 0.000 0.500 0.500 [2 per cell]
Tm 0.000 0.335 0.000 [4 per cell]
Se 0.234 0.500 0.246 [4 per cell]
Se 0.241 0.325 0.746 [8 per cell]

Computed properties:
total magnetic moment	0.00	Bohr magnetons per cell
raw total energy	-0.42416	Ry/atom
formation energy from raw total energies	-1735	meV per atom
crystal system	monoclinic
calculated volume	24.2	A^3/atom

***

Here is a relaxed PrDy4TmSe8 crystal from Alexandria. Energies are from PBE.

Lattice parameters (Å, degrees): 8.4676 8.4676 20.6626 90.00 90.00 120.00
Space group R3m (No. 160, hexagonal axes)
Asymmetric unit:
Pr 0.0000 0.0000 0.0000 [3 per cell]
Dy 0.0000 0.0000 0.2485 [3 per cell]
Dy 0.0025 0.5013 0.1245 [9 per cell]
Tm 0.0000 0.0000 0.6237 [3 per cell]
Se 0.0000 0.0000 0.3806 [3 per cell]
Se 0.0000 0.0000 0.8633 [3 per cell]
Se 0.0331 0.5166 0.3770 [9 per cell]
Se 0.1776 0.3551 0.2066 [9 per cell]

Computed properties:
total magnetic moment	0.00	Bohr magnetons per cell
raw total energy	-0.41706	Ry/atom
formation energy from raw total energies	-1708	meV per atom
crystal system	trigonal
calculated volume	30.5	A^3/atom

***

Here is a relaxed PrDy2TmSe6 crystal from Alexandria. Energies are from PBE.

Lattice parameters (Å, degrees): 7.2689 7.2689 19.4991 90.00 90.00 120.00
Space group R3 (No. 146, hexagonal axes)
Asymmetric unit:
Pr 0.0000 0.0000 0.0000 [3 per cell]
Dy 0.0000 0.0000 0.2958 [3 per cell]
Dy 0.0000 0.0000 0.8005 [3 per cell]
Tm 0.0000 0.0000 0.4929 [3 per cell]
Se 0.0200 0.7140 0.3957 [9 per cell]
Se 0.0245 0.3555 0.5612 [9 per cell]

Computed properties:
total magnetic moment	0.00	Bohr magnetons per cell
raw total energy	-0.42456	Ry/atom
formation energy from raw total energies	-1840	meV per atom
crystal system	trigonal
calculated volume	29.7	A^3/atom

***

Here is a relaxed Pr2DyTmSe4 crystal from Alexandria. Energies are from PBE.

Lattice parameters (Å, degrees): 7.092 4.070 7.421 90.00 108.39 90.00
Space group P2/m (No. 10)
Asymmetric unit:
Pr 0.000 0.000 0.000 [1 per cell]
Pr 0.500 0.500 0.000 [1 per cell]
Dy 0.000 0.500 0.500 [1 per cell]
Tm 0.500 0.000 0.500 [1 per cell]
Se 0.246 0.000 0.730 [2 per cell]
Se 0.260 0.500 0.272 [2 per cell]

Computed properties:
total magnetic moment	0.00	Bohr magnetons per cell
raw total energy	-0.43038	Ry/atom
formation energy from raw total energies	-1784	meV per atom
crystal system	monoclinic
calculated volume	25.4	A^3/atom

***

Here is a relaxed PrDyTm2Se6 crystal from Alexandria. Energies are from PBE.

Lattice parameters (Å, degrees): 7.2476 7.2476 19.3769 90.00 90.00 120.00
Space group R3 (No. 146, hexagonal axes)
Asymmetric unit:
Pr 0.0000 0.0000 0.0000 [3 per cell]
Dy 0.0000 0.0000 0.4935 [3 per cell]
Tm 0.0000 0.0000 0.2961 [3 per cell]
Tm 0.0000 0.0000 0.7999 [3 per cell]
Se 0.0098 0.3128 0.8924 [9 per cell]
Se 0.0218 0.6382 0.0597 [9 per cell]

Computed properties:
total magnetic moment	0.00	Bohr magnetons per cell
raw total energy	-0.42342	Ry/atom
formation energy from raw total energies	-1838	meV per atom
crystal system	trigonal
calculated volume	29.4	A^3/atom